DFT (GGA-PBE) results for crystalline NdSm3Tc at its relaxed geometry.

Results
Its space group is Pm-3m, No. 221. For the offset from the most stable computed form, the calculation gives 0.766 eV per formula unit. For the formation energy, the calculation gives 172 meV/atom. The value obtained for the energy is -5.686 eV/atom.

Lattice parameters (Å, degrees): 5.484 5.484 5.484 90.00 90.00 90.00
Positions (direct):
Nd: 0.000 0.000 0.000
Sm: 0.000 0.500 0.500
Sm: 0.500 0.000 0.500
Sm: 0.500 0.500 0.000
Tc: 0.500 0.500 0.500